Entry 1:
A relaxed structure of CuIBrO2. Source: the Alexandria database, functional PBE.

The total energy comes out at -2.96 eV per atom. The value obtained for the total magnetization is 0.000 μB per cell. The volume comes out at 118 Å³ per cell.

It has space group P4/mmm (No. 123), with a = 3.845 Å, b = 3.845 Å, c = 7.950 Å, α = 90.00°, β = 90.00° and γ = 90.00°. The distinct sites, in fractional coordinates, are Cu at (0.000, 0.000, 0.000), I at (0.500, 0.500, 0.000), Br at (0.500, 0.500, 0.500) and O at (0.000, 0.500, 0.500).

Entry 2:
A relaxed structure of CuI2BrO. Source: the Alexandria database, functional PBE.

The total energy comes out at -2.57 eV per atom. The value obtained for the total magnetization is 1.126 μB per cell. The volume comes out at 130 Å³ per cell.

It has space group P4/mmm (No. 123), with a = 6.129 Å, b = 6.129 Å, c = 3.462 Å, α = 90.00°, β = 90.00° and γ = 90.00°. The distinct sites, in fractional coordinates, are Cu at (0.000, 0.000, 0.000), I at (0.000, 0.500, 0.000), Br at (0.500, 0.500, 0.500) and O at (0.000, 0.000, 0.500).

Entry 3:
A relaxed structure of CuIBrO2. Source: the Alexandria database, functional PBE.

The total energy comes out at -3.04 eV per atom. The value obtained for the total magnetization is 2.144 μB per cell. The volume comes out at 108 Å³ per cell.

It has space group P4/mmm (No. 123), with a = 3.956 Å, b = 3.956 Å, c = 6.901 Å, α = 90.00°, β = 90.00° and γ = 90.00°. The distinct sites, in fractional coordinates, are Cu at (0.000, 0.000, 0.000), I at (0.000, 0.000, 0.500), Br at (0.500, 0.500, 0.500) and O at (0.000, 0.500, 0.000).

Entry 4:
A relaxed structure of CuPd2IBr. Source: the Alexandria database, functional PBE.

The total energy comes out at -2.68 eV per atom. The value obtained for the total magnetization is 0.000 μB per cell. The volume comes out at 154 Å³ per cell.

It has space group P4/mmm (No. 123), with a = 4.983 Å, b = 4.983 Å, c = 6.189 Å, α = 90.00°, β = 90.00° and γ = 90.00°. The distinct sites, in fractional coordinates, are Cu at (0.000, 0.000, 0.000), Pd at (0.000, 0.500, 0.500), I at (0.500, 0.500, 0.500) and Br at (0.500, 0.500, 0.000).

Entry 5:
A relaxed structure of Rb2CuI3Br. Source: the Alexandria database, functional PBE.

The total energy comes out at -2.67 eV per atom. The value obtained for the total magnetization is 0.000 μB per cell. The volume comes out at 561 Å³ per cell.

It has space group Immm (No. 71), with a = 5.509 Å, b = 5.741 Å, c = 17.722 Å, α = 90.00°, β = 90.00° and γ = 90.00°. The distinct sites, in fractional coordinates, are Rb at (0.000, 0.000, 0.132), Cu at (0.000, 0.000, 0.500), I at (0.000, 0.000, 0.348), I at (0.000, 0.500, 0.000) and Br at (0.000, 0.500, 0.500).

Entry 6:
A relaxed structure of Rb3Cu2IBr8. Source: the Alexandria database, functional PBE.

The total energy comes out at -2.68 eV per atom. The value obtained for the total magnetization is 0.000 μB per cell. The volume comes out at 536 Å³ per cell.

It has space group P-3m1 (No. 164), with a = 7.9162 Å, b = 7.9162 Å, c = 9.8676 Å, α = 90.00°, β = 90.00° and γ = 120.00°. The distinct sites, in fractional coordinates, are Rb at (0.0000, 0.0000, 0.0000), Rb at (0.3333, 0.6667, 0.6122), Cu at (0.3333, 0.6667, 0.1837), I at (0.0000, 0.0000, 0.5000), Br at (0.1813, 0.3625, 0.3125) and Br at (0.3333, 0.6667, 0.9500).

Entry 7:
A relaxed structure of Rb3Cu2I4Br2. Source: the Alexandria database, functional PBE.

The total energy comes out at -2.80 eV per atom. The value obtained for the total magnetization is 0.000 μB per cell. The volume comes out at 852 Å³ per cell.

It has space group I4/mmm (No. 139), with a = 5.389 Å, b = 5.389 Å, c = 29.355 Å, α = 90.00°, β = 90.00° and γ = 90.00°. The distinct sites, in fractional coordinates, are Rb at (0.000, 0.000, 0.000), Rb at (0.000, 0.000, 0.184), Cu at (0.000, 0.000, 0.388), I at (0.000, 0.500, 0.089) and Br at (0.000, 0.000, 0.303).

Entry 8:
A relaxed structure of RbCu2I2Br. Source: the Alexandria database, functional PBE.

The total energy comes out at -2.97 eV per atom. The value obtained for the total magnetization is 0.000 μB per cell. The volume comes out at 416 Å³ per cell.

It has space group P2_1/m (No. 11), with a = 9.009 Å, b = 5.297 Å, c = 9.020 Å, α = 90.00°, β = 104.92° and γ = 90.00°. The distinct sites, in fractional coordinates, are Rb at (0.224, 0.250, 0.277), Cu at (0.333, 0.000, 0.833), I at (0.088, 0.250, 0.842), I at (0.341, 0.750, 0.589) and Br at (0.406, 0.750, 0.094).